First-principles (PBE) data for a relaxed Mg8AlCd2 crystal, as listed in Alexandria via LeMat-Bulk.

Results
- crystal system = monoclinic
- energy relative to the lowest polymorph listed for this composition (meV/atom) = 63
- DOS at the Fermi energy (states/eV per atom) = 0.421
- total magnetic moment (μB per cell) = 0.0

Unit cell a=7.752 b=7.752 c=5.217 alpha=100.66 beta=100.66 gamma=120.04
Atoms (fractional coordinates):
Mg 0.096 0.319 0.634
Mg 0.214 0.786 0.000
Mg 0.319 0.096 0.634
Mg 0.393 0.393 0.199
Mg 0.607 0.607 0.801
Mg 0.681 0.904 0.366
Mg 0.786 0.214 0.000
Mg 0.904 0.681 0.366
Al 0.000 0.000 0.000
Cd 0.302 0.698 0.500
Cd 0.698 0.302 0.500

***

First-principles (PBE) data for a relaxed MgAl2Cd2 crystal, as listed in Alexandria via LeMat-Bulk.

Results
- crystal system = tetragonal
- energy relative to the lowest polymorph listed for this composition (meV/atom) = 0
- DOS at the Fermi energy (states/eV per atom) = 0.331
- total magnetic moment (μB per cell) = 0.0

Unit cell a=7.154 b=7.154 c=7.154 alpha=147.03 beta=147.03 gamma=47.32
Atoms (fractional coordinates):
Mg 0.000 0.000 0.000
Al 0.250 0.750 0.500
Al 0.750 0.250 0.500
Cd 0.396 0.396 0.000
Cd 0.604 0.604 0.000

***

First-principles (PBE) data for a relaxed Mg2AlCd2 crystal, as listed in Alexandria via LeMat-Bulk.

Results
- crystal system = tetragonal
- energy relative to the lowest polymorph listed for this composition (meV/atom) = 69
- DOS at the Fermi energy (states/eV per atom) = 0.476
- total magnetic moment (μB per cell) = 0.0

Unit cell a=8.349 b=8.349 c=3.233 alpha=90.00 beta=90.00 gamma=90.00
Atoms (fractional coordinates):
Mg 0.130 0.370 0.000
Mg 0.370 0.870 0.000
Mg 0.630 0.130 0.000
Mg 0.870 0.630 0.000
Al 0.000 0.000 0.000
Al 0.500 0.500 0.000
Cd 0.171 0.671 0.500
Cd 0.329 0.171 0.500
Cd 0.671 0.829 0.500
Cd 0.829 0.329 0.500

***

First-principles (PBE) data for a relaxed Mg2Al2Cd crystal, as listed in Alexandria via LeMat-Bulk.

Results
- crystal system = tetragonal
- energy relative to the lowest polymorph listed for this composition (meV/atom) = 62
- DOS at the Fermi energy (states/eV per atom) = 0.352
- total magnetic moment (μB per cell) = 0.0

Unit cell a=8.365 b=8.365 c=3.011 alpha=90.00 beta=90.00 gamma=90.00
Atoms (fractional coordinates):
Mg 0.184 0.316 0.000
Mg 0.316 0.816 0.000
Mg 0.684 0.184 0.000
Mg 0.816 0.684 0.000
Al 0.113 0.613 0.500
Al 0.387 0.113 0.500
Al 0.613 0.887 0.500
Al 0.887 0.387 0.500
Cd 0.000 0.000 0.500
Cd 0.500 0.500 0.500

***

First-principles (PBE) data for a relaxed Mg2AlCd crystal, as listed in Alexandria via LeMat-Bulk.

Results
- crystal system = monoclinic
- energy relative to the lowest polymorph listed for this composition (meV/atom) = 28
- DOS at the Fermi energy (states/eV per atom) = 0.328
- total magnetic moment (μB per cell) = 0.0

Unit cell a=5.456 b=5.456 c=5.224 alpha=98.43 beta=98.43 gamma=32.71
Atoms (fractional coordinates):
Mg 0.000 0.000 0.000
Mg 0.245 0.245 0.727
Al 0.748 0.748 0.225
Cd 0.493 0.493 0.495

***

First-principles (PBE) data for a relaxed Mg5AlCd4 crystal, as listed in Alexandria via LeMat-Bulk.

Results
- crystal system = tetragonal
- VASP energy (eV per formula unit) = -15.92
- DOS at the Fermi energy (states/eV per atom) = 0.431
- total magnetic moment (μB per cell) = 0.0

Unit cell a=3.554 b=3.554 c=16.792 alpha=90.00 beta=90.00 gamma=90.00
Atoms (fractional coordinates):
Mg 0.000 0.000 0.000
Mg 0.000 0.000 0.202
Mg 0.000 0.000 0.404
Mg 0.000 0.000 0.596
Mg 0.000 0.000 0.798
Al 0.500 0.500 0.500
Cd 0.500 0.500 0.101
Cd 0.500 0.500 0.304
Cd 0.500 0.500 0.696
Cd 0.500 0.500 0.899

***

First-principles (PBE) data for a relaxed Mg2AlCd crystal, as listed in Alexandria via LeMat-Bulk.

Results
- crystal system = tetragonal
- energy relative to the lowest polymorph listed for this composition (meV/atom) = 0
- DOS at the Fermi energy (states/eV per atom) = 0.305
- total magnetic moment (μB per cell) = 0.0

Unit cell a=3.069 b=3.069 c=8.755 alpha=90.00 beta=90.00 gamma=90.00
Atoms (fractional coordinates):
Mg 0.000 0.000 0.238
Mg 0.000 0.000 0.762
Al 0.500 0.500 0.000
Cd 0.500 0.500 0.500

***

First-principles (PBE) data for a relaxed Mg6AlCd5 crystal, as listed in Alexandria via LeMat-Bulk.

Results
- crystal system = monoclinic
- VASP energy (eV per formula unit) = -18.72
- DOS at the Fermi energy (states/eV per atom) = 0.427
- total magnetic moment (μB per cell) = 0.0

Unit cell a=5.230 b=6.416 c=7.661 alpha=90.00 beta=94.03 gamma=90.00
Atoms (fractional coordinates):
Mg 0.000 0.246 0.000
Mg 0.000 0.754 0.000
Mg 0.331 0.249 0.669
Mg 0.331 0.751 0.669
Mg 0.669 0.249 0.331
Mg 0.669 0.751 0.331
Al 0.500 0.000 0.000
Cd 0.168 0.500 0.337
Cd 0.175 0.000 0.331
Cd 0.500 0.500 0.000
Cd 0.825 0.000 0.669
Cd 0.832 0.500 0.663

***

First-principles (PBE) data for a relaxed Mg2AlCd6 crystal, as listed in Alexandria via LeMat-Bulk.

Results
- crystal system = monoclinic
- VASP energy (eV per formula unit) = -12.03
- DOS at the Fermi energy (states/eV per atom) = 0.307
- total magnetic moment (μB per cell) = 0.0

Unit cell a=5.638 b=5.638 c=8.855 alpha=103.81 beta=103.81 gamma=48.47
Atoms (fractional coordinates):
Mg 0.027 0.027 0.315
Mg 0.973 0.973 0.685
Al 0.500 0.500 0.000
Cd 0.168 0.168 0.030
Cd 0.280 0.280 0.735
Cd 0.358 0.358 0.430
Cd 0.642 0.642 0.570
Cd 0.720 0.720 0.265
Cd 0.832 0.832 0.970

***

First-principles (PBE) data for a relaxed Mg2Al2Cd crystal, as listed in Alexandria via LeMat-Bulk.

Results
- crystal system = monoclinic
- energy relative to the lowest polymorph listed for this composition (meV/atom) = 0
- DOS at the Fermi energy (states/eV per atom) = 0.346
- total magnetic moment (μB per cell) = 0.0

Unit cell a=4.564 b=3.069 c=7.476 alpha=90.00 beta=105.93 gamma=90.00
Atoms (fractional coordinates):
Mg 0.115 0.000 0.225
Mg 0.885 0.000 0.775
Al 0.297 0.500 0.598
Al 0.703 0.500 0.402
Cd 0.500 0.500 0.000

***

First-principles (PBE) data for a relaxed Mg7Al2Cd2 crystal, as listed in Alexandria via LeMat-Bulk.

Results
- crystal system = monoclinic
- VASP energy (eV per formula unit) = -20.56
- DOS at the Fermi energy (states/eV per atom) = 0.286
- total magnetic moment (μB per cell) = 0.0

Unit cell a=5.737 b=5.737 c=7.495 alpha=98.89 beta=98.89 gamma=96.39
Atoms (fractional coordinates):
Mg 0.000 0.000 0.000
Mg 0.088 0.467 0.810
Mg 0.152 0.152 0.411
Mg 0.467 0.088 0.810
Mg 0.533 0.912 0.190
Mg 0.848 0.848 0.589
Mg 0.912 0.533 0.190
Al 0.392 0.392 0.148
Al 0.608 0.608 0.852
Cd 0.315 0.685 0.500
Cd 0.685 0.315 0.500

***

First-principles (PBE) data for a relaxed MgAl2Cd2 crystal, as listed in Alexandria via LeMat-Bulk.

Results
- crystal system = tetragonal
- energy relative to the lowest polymorph listed for this composition (meV/atom) = 77
- DOS at the Fermi energy (states/eV per atom) = 0.375
- total magnetic moment (μB per cell) = 0.0

Unit cell a=8.144 b=8.144 c=3.256 alpha=90.00 beta=90.00 gamma=90.00
Atoms (fractional coordinates):
Mg 0.000 0.000 0.000
Mg 0.500 0.500 0.000
Al 0.170 0.330 0.500
Al 0.330 0.830 0.500
Al 0.670 0.170 0.500
Al 0.830 0.670 0.500
Cd 0.131 0.631 0.000
Cd 0.369 0.131 0.000
Cd 0.631 0.869 0.000
Cd 0.869 0.369 0.000

***

First-principles (PBE) data for a relaxed Mg2Al2Cd crystal, as listed in Alexandria via LeMat-Bulk.

Results
- crystal system = tetragonal
- energy relative to the lowest polymorph listed for this composition (meV/atom) = 136
- DOS at the Fermi energy (states/eV per atom) = 0.481
- total magnetic moment (μB per cell) = 0.0

Unit cell a=8.649 b=8.649 c=2.881 alpha=90.00 beta=90.00 gamma=90.00
Atoms (fractional coordinates):
Mg 0.127 0.373 0.000
Mg 0.373 0.873 0.000
Mg 0.627 0.127 0.000
Mg 0.873 0.627 0.000
Al 0.171 0.671 0.500
Al 0.329 0.171 0.500
Al 0.671 0.829 0.500
Al 0.829 0.329 0.500
Cd 0.000 0.000 0.000
Cd 0.500 0.500 0.000

***

First-principles (PBE) data for a relaxed Mg4AlCd7 crystal, as listed in Alexandria via LeMat-Bulk.

Results
- crystal system = triclinic
- VASP energy (eV per formula unit) = -16.69
- DOS at the Fermi energy (states/eV per atom) = 0.214
- total magnetic moment (μB per cell) = 0.0

Unit cell a=5.181 b=6.465 c=8.386 alpha=71.51 beta=89.95 gamma=89.00
Atoms (fractional coordinates):
Mg 0.242 0.393 0.209
Mg 0.242 0.899 0.237
Mg 0.758 0.101 0.763
Mg 0.758 0.607 0.791
Al 0.000 0.500 0.500
Cd 0.249 0.039 0.564
Cd 0.249 0.317 0.861
Cd 0.258 0.795 0.916
Cd 0.500 0.500 0.500
Cd 0.742 0.205 0.084
Cd 0.751 0.683 0.139
Cd 0.751 0.961 0.436

***

First-principles (PBE) data for a relaxed Mg12AlCd6 crystal, as listed in Alexandria via LeMat-Bulk.

Results
- crystal system = trigonal
- energy relative to the lowest polymorph listed for this composition (meV/atom) = 0
- DOS at the Fermi energy (states/eV per atom) = 0.427
- total magnetic moment (μB per cell) = 0.0

Unit cell a=7.498 b=7.498 c=7.498 alpha=88.82 beta=88.82 gamma=88.82
Atoms (fractional coordinates):
Mg 0.024 0.933 0.304
Mg 0.067 0.696 0.976
Mg 0.132 0.462 0.350
Mg 0.304 0.024 0.933
Mg 0.350 0.132 0.462
Mg 0.462 0.350 0.132
Mg 0.538 0.650 0.868
Mg 0.650 0.868 0.538
Mg 0.696 0.976 0.067
Mg 0.868 0.538 0.650
Mg 0.933 0.304 0.024
Mg 0.976 0.067 0.696
Al 0.500 0.500 0.500
Cd 0.227 0.382 0.768
Cd 0.232 0.773 0.618
Cd 0.382 0.768 0.227
Cd 0.618 0.232 0.773
Cd 0.768 0.227 0.382
Cd 0.773 0.618 0.232

***

First-principles (PBE) data for a relaxed Mg2AlCd crystal, as listed in Alexandria via LeMat-Bulk.

Results
- crystal system = monoclinic
- energy relative to the lowest polymorph listed for this composition (meV/atom) = 11
- DOS at the Fermi energy (states/eV per atom) = 0.335
- total magnetic moment (μB per cell) = 0.0

Unit cell a=3.102 b=4.228 c=6.294 alpha=90.00 beta=90.08 gamma=90.00
Atoms (fractional coordinates):
Mg 0.000 0.000 0.243
Mg 0.000 0.000 0.757
Al 0.500 0.500 0.000
Cd 0.500 0.500 0.500

***

First-principles (PBE) data for a relaxed Mg2AlCd crystal, as listed in Alexandria via LeMat-Bulk.

Results
- crystal system = monoclinic
- energy relative to the lowest polymorph listed for this composition (meV/atom) = 20
- DOS at the Fermi energy (states/eV per atom) = 0.372
- total magnetic moment (μB per cell) = 0.0

Unit cell a=3.192 b=4.755 c=5.719 alpha=90.00 beta=104.70 gamma=90.00
Atoms (fractional coordinates):
Mg 0.000 0.000 0.000
Mg 0.314 0.500 0.666
Al 0.587 0.500 0.187
Cd 0.724 0.000 0.473

***

First-principles (PBE) data for a relaxed Mg3AlCd2 crystal, as listed in Alexandria via LeMat-Bulk.

Results
- crystal system = tetragonal
- VASP energy (eV per formula unit) = -10.72
- DOS at the Fermi energy (states/eV per atom) = 0.216
- total magnetic moment (μB per cell) = 0.0

Unit cell a=3.118 b=3.118 c=12.943 alpha=90.00 beta=90.00 gamma=90.00
Atoms (fractional coordinates):
Mg 0.000 0.000 0.000
Mg 0.000 0.000 0.339
Mg 0.000 0.000 0.661
Al 0.500 0.500 0.500
Cd 0.500 0.500 0.169
Cd 0.500 0.500 0.831

***

First-principles (PBE) data for a relaxed Mg5Al2Cd2 crystal, as listed in Alexandria via LeMat-Bulk.

Results
- crystal system = monoclinic
- VASP energy (eV per formula unit) = -17.26
- DOS at the Fermi energy (states/eV per atom) = 0.366
- total magnetic moment (μB per cell) = 0.0

Unit cell a=5.447 b=5.447 c=8.628 alpha=98.26 beta=98.26 gamma=50.16
Atoms (fractional coordinates):
Mg 0.000 0.000 0.000
Mg 0.070 0.070 0.664
Mg 0.383 0.383 0.765
Mg 0.617 0.617 0.235
Mg 0.930 0.930 0.336
Al 0.244 0.244 0.418
Al 0.756 0.756 0.582
Cd 0.317 0.317 0.109
Cd 0.683 0.683 0.891

***

First-principles (PBE) data for a relaxed Mg7Al2Cd3 crystal, as listed in Alexandria via LeMat-Bulk.

Results
- crystal system = orthorhombic
- VASP energy (eV per formula unit) = -20.46
- DOS at the Fermi energy (states/eV per atom) = 0.337
- total magnetic moment (μB per cell) = 0.0

Unit cell a=13.433 b=13.433 c=4.544 alpha=90.00 beta=90.00 gamma=160.28
Atoms (fractional coordinates):
Mg 0.000 0.000 0.000
Mg 0.081 0.919 0.500
Mg 0.279 0.721 0.000
Mg 0.419 0.581 0.000
Mg 0.581 0.419 0.000
Mg 0.721 0.279 0.000
Mg 0.919 0.081 0.500
Al 0.157 0.843 0.000
Al 0.843 0.157 0.000
Cd 0.345 0.655 0.500
Cd 0.500 0.500 0.500
Cd 0.655 0.345 0.500